Record 1
TlFeTcW | PBE | relaxed

The structure belongs to space group F-43m (No. 216); the cell edges are 6.2910, 6.2910 and 6.2910 Å and the angles 90.00°, 90.00° and 90.00°. The inequivalent atoms are Tl at (0.0000, 0.0000, 0.0000), Fe at (0.2500, 0.2500, 0.2500), Tc at (0.2500, 0.2500, 0.7500) and W at (0.0000, 0.0000, 0.5000).

The calculation puts the volume at 248.98 Å³ per cell. For the polymorph energy (0 for the lowest one), the calculation gives 0.000 eV per atom.

---

Record 2
TmFeTc | PBE | relaxed

The structure belongs to space group F-43m (No. 216); the cell edges are 6.0190, 6.0190 and 6.0190 Å and the angles 90.00°, 90.00° and 90.00°. The inequivalent atoms are Tm at (0.0000, 0.0000, 0.0000), Fe at (0.2500, 0.2500, 0.7500) and Tc at (0.0000, 0.0000, 0.5000).

The calculation puts the volume at 218.06 Å³ per cell. The value obtained for the formation energy is 0.401 eV/atom. For the polymorph energy (0 for the lowest one), the calculation gives 0.000 eV per atom.

---

Record 3
TmFeTc | PBE | relaxed

The structure belongs to space group F-43m (No. 216); the cell edges are 6.2365, 6.2365 and 6.2365 Å and the angles 90.00°, 90.00° and 90.00°. The inequivalent atoms are Tm at (0.0000, 0.0000, 0.0000), Fe at (0.2500, 0.2500, 0.7500) and Tc at (0.2500, 0.2500, 0.2500).

The calculation puts the volume at 242.56 Å³ per cell. The value obtained for the formation energy is 1.246 eV/atom. For the polymorph energy (0 for the lowest one), the calculation gives 0.845 eV per atom.